[1]
This record from Alexandria describes a relaxed structure of RbAlSnOs2. The functional is PBEsol.

ρ = 8.27 g cm⁻³
Crystal system = tetragonal
Total moment = 0.9 μB/cell
Volume = 24.57 Å³ per atom
ΔH_f (0 K) = 3.32 eV per atom

Unit cell a=4.7811 b=4.7811 c=5.3738 alpha=90.00 beta=90.00 gamma=90.00
With the nearest neighbours (Å) after each atom.
Positions (direct):
Os: 0.0000 0.5000 0.0000  2 Rb 2.39
Al: 0.5000 0.5000 0.5000  4 Sn 3.38, 8 Os 3.60
Rb: 0.0000 0.0000 0.0000  4 Os 2.39
Sn: 0.0000 0.0000 0.5000  2 Rb 2.69
Os: 0.5000 0.0000 0.0000  2 Rb 2.39

[2]
This record from Alexandria describes a relaxed structure of BaMn2Cr. The functional is PBEsol.

ρ = 6.88 g cm⁻³
Crystal system = tetragonal
Total moment = 1.3 μB/cell
Volume = 18.04 Å³ per atom
ΔH_f (0 K) = 0.81 eV per atom

Unit cell a=3.1316 b=3.1373 c=7.3455 alpha=90.00 beta=90.00 gamma=90.00
With the nearest neighbours (Å) after each atom.
Positions (direct):
Ba: 0.5000 0.0000 0.4934  4 Ba 3.13-3.14, 4 Mn 3.42
Cr: 0.0000 0.5000 0.8685  1 Mn 1.99
Mn: 0.5000 0.0000 0.9993  4 Cr 2.42, 4 Mn 2.44
Mn: 0.0000 0.5000 0.1388  1 Cr 1.99

[3]
This record from Alexandria describes a relaxed structure of SiTc2Ir. The functional is PBEsol.

ρ = 12.66 g cm⁻³
Crystal system = cubic
Total moment = 1.0 μB/cell
Volume = 13.65 Å³ per atom
Formation energy from raw total energies = -0.53 kcal/mol of atoms

Unit cell a=4.2580 b=4.2580 c=4.2580 alpha=60.00 beta=60.00 gamma=60.00
With the nearest neighbours (Å) after each atom.
Positions (direct):
Tc: 0.0000 0.0000 0.0000  4 Tc 2.61, 4 Si 2.61
Si: 0.2500 0.2500 0.2500  4 Ir 2.61, 4 Tc 2.61
Tc: 0.7500 0.7500 0.7500  4 Tc 2.61, 4 Ir 2.61
Ir: 0.5000 0.5000 0.5000  4 Tc 2.61, 4 Si 2.61

[4]
This record from Alexandria describes a relaxed structure of Ba2HgP. The functional is PBEsol.

ρ = 6.72 g cm⁻³
Crystal system = tetragonal
Total moment = 0.0 μB/cell
Energy above the lowest structure with this stoichiometry = 0.0 meV/atom
Volume = 31.26 Å³ per atom
ΔH_f (0 K) = -0.76 eV per atom

Unit cell a=3.9927 b=3.9927 c=7.8430 alpha=90.00 beta=90.00 gamma=90.00
With the nearest neighbours (Å) after each atom.
Positions (direct):
P: 0.5000 0.5000 0.0000  8 Ba 3.28
Ba: 0.0000 0.0000 0.7874  4 P 3.28, 1 Ba 3.34, 4 Hg 3.61
Ba: 0.0000 0.0000 0.2126  4 P 3.28, 1 Ba 3.34, 4 Hg 3.61
Hg: 0.5000 0.5000 0.5000  8 Ba 3.61, 2 P 3.92, 4 Hg 3.99

[5]
This record from Alexandria describes a relaxed structure of CuPbAu2. The functional is PBEsol.

ρ = 15.10 g cm⁻³
Crystal system = tetragonal
Total moment = 0.0 μB/cell
Volume = 18.28 Å³ per atom
ΔH_f (0 K) = 0.03 eV per atom

Unit cell a=3.2076 b=3.2076 c=7.1060 alpha=90.00 beta=90.00 gamma=90.00
With the nearest neighbours (Å) after each atom.
Positions (direct):
Au: 0.0000 0.0000 0.1982  4 Cu 2.67, 1 Au 2.82
Cu: 0.5000 0.5000 0.0000  8 Au 2.67
Pb: 0.5000 0.5000 0.5000  8 Au 3.12, 4 Pb 3.21
Au: 0.0000 0.0000 0.8018  4 Cu 2.67, 1 Au 2.82

[6]
This record from Alexandria describes a relaxed structure of YTlPt4. The functional is PBEsol.

ρ = 16.48 g cm⁻³
Crystal system = cubic
Total moment = 0.0 μB/cell
Volume = 18.03 Å³ per atom
ΔH_f (0 K) = -0.72 eV per atom

Unit cell a=5.3482 b=5.3482 c=5.3482 alpha=60.00 beta=60.00 gamma=60.00
With the nearest neighbours (Å) after each atom.
Positions (direct):
Pt: 0.3752 0.8743 0.3752  6 Pt 2.67-2.68
Y: 0.0000 0.0000 0.0000  12 Pt 3.14, 4 Tl 3.28
Tl: 0.7500 0.7500 0.7500  12 Pt 3.14, 4 Y 3.28
Pt: 0.3752 0.3752 0.8743  6 Pt 2.67-2.68
Pt: 0.8743 0.3752 0.3752  6 Pt 2.67-2.68
Pt: 0.3752 0.3752 0.3752  6 Pt 2.67-2.68

[7]
This record from Alexandria describes a relaxed structure of BeSiAs2Br. The functional is PBEsol.

ρ = 4.70 g cm⁻³
Crystal system = tetragonal
Total moment = 0.0 μB/cell
Volume = 18.84 Å³ per atom
Formation energy from raw total energies = 13.79 kcal/mol of atoms

Unit cell a=4.4648 b=4.4648 c=4.7264 alpha=90.00 beta=90.00 gamma=90.00
With the nearest neighbours (Å) after each atom.
Positions (direct):
Br: 0.0000 0.0000 0.5000  2 Be 2.36
Si: 0.5000 0.5000 0.5000  4 Br 3.16, 8 As 3.25
Be: 0.0000 0.0000 0.0000  4 As 2.23, 2 Br 2.36
As: 0.0000 0.5000 0.0000  2 Be 2.23
As: 0.5000 0.0000 0.0000  2 Be 2.23

[8]
This record from Alexandria describes a relaxed structure of MnPI2N. The functional is PBEsol.

ρ = 6.12 g cm⁻³
Crystal system = tetragonal
Total moment = 1.2 μB/cell
Volume = 19.19 Å³ per atom
Formation energy from raw total energies = 12.96 kcal/mol of atoms

Unit cell a=3.4943 b=5.2404 c=5.2404 alpha=90.00 beta=90.00 gamma=90.00
With the nearest neighbours (Å) after each atom.
Positions (direct):
N: 0.5000 0.0000 0.0000  2 Mn 1.75
P: 0.5000 0.5000 0.5000  8 I 3.15, 2 P 3.49
I: 0.0000 0.0000 0.5000  2 Mn 2.62
Mn: 0.0000 0.0000 0.0000  2 N 1.75
I: 0.0000 0.5000 0.0000  2 Mn 2.62

[9]
This record from Alexandria describes a relaxed structure of Li2FeNi3O8. The functional is PBEsol.

ρ = 4.80 g cm⁻³
Crystal system = monoclinic
Total moment = 1.5 μB/cell
Volume = 9.24 Å³ per atom
Formation energy from raw total energies = -27.40 kcal/mol of atoms

Unit cell a=5.6824 b=5.5781 c=5.7515 alpha=60.68 beta=60.40 gamma=59.38
With the nearest neighbours (Å) after each atom.
Positions (direct):
O: 0.7564 0.7577 0.2113  2 Ni 1.87-1.96, 1 Fe 1.89, 1 Li 2.09
O: 0.7356 0.7303 0.7984  1 Fe 1.88, 2 Ni 1.88
O: 0.2342 0.7333 0.7984  3 Ni 1.86-1.89
Fe: 0.5000 0.0000 0.0000  6 O 1.88-1.89
O: 0.7254 0.2423 0.7887  2 Ni 1.87-1.96, 1 Fe 1.89, 1 Li 2.09
O: 0.7658 0.2667 0.2016  3 Ni 1.86-1.89
Li: 0.0000 0.5000 0.5000  6 O 2.12-2.16
O: 0.2746 0.7577 0.2113  2 Ni 1.87-1.96, 1 Fe 1.89, 1 Li 2.09
Li: 0.5000 0.5000 0.5000  6 O 2.09-2.13
Ni: 0.5000 0.5000 0.0000  6 O 1.87-1.89
O: 0.2436 0.2423 0.7887  2 Ni 1.87-1.96, 1 Fe 1.89, 1 Li 2.09
O: 0.2644 0.2697 0.2016  1 Fe 1.88, 2 Ni 1.88
Ni: 0.0000 0.0000 0.0000  6 O 1.86-1.96
Ni: 0.0000 0.5000 0.0000  6 O 1.87-1.89

[10]
This record from Alexandria describes a relaxed structure of HgTeW2. The functional is PBEsol.

ρ = 14.20 g cm⁻³
Crystal system = trigonal
Total moment = 0.0 μB/cell
Energy above the lowest structure with this stoichiometry = 0.0 meV/atom
Volume = 20.34 Å³ per atom
Formation energy from raw total energies = 10.40 kcal/mol of atoms

Unit cell a=3.2328 b=3.2328 c=9.1802 alpha=79.86 beta=79.86 gamma=60.00
With the nearest neighbours (Å) after each atom.
Positions (direct):
W: 0.7388 0.7388 0.7835  3 W 2.54
Te: 0.2618 0.2618 0.2147  3 W 2.85
W: 0.0082 0.0082 0.9755  3 W 2.54, 3 Te 2.85
Hg: 0.4912 0.4912 0.5264  3 W 2.97, 6 Hg 3.23

[11]
This record from Alexandria describes a relaxed structure of Au2BrCl. The functional is PBEsol.

ρ = 8.57 g cm⁻³
Crystal system = monoclinic
Total moment = 0.0 μB/cell
Energy above the lowest structure with this stoichiometry = 6.8 meV/atom
Volume = 24.68 Å³ per atom
Formation energy from raw total energies = -1.30 kcal/mol of atoms

Unit cell a=3.5386 b=3.7081 c=7.5251 alpha=91.48 beta=90.00 gamma=90.00
With the nearest neighbours (Å) after each atom.
Positions (direct):
Cl: 0.5000 0.1541 0.1924  2 Au 2.40
Au: 0.0000 0.9818 0.9927  2 Cl 2.40, 2 Au 2.56
Br: 0.0000 0.5886 0.5484  2 Au 2.50
Au: 0.5000 0.7755 0.7664  2 Br 2.50, 2 Au 2.56

[12]
This record from Alexandria describes a relaxed structure of LaY. The functional is PBEsol.

ρ = 5.82 g cm⁻³
Crystal system = hexagonal
Total moment = 0.0 μB/cell
Energy above the lowest structure with this stoichiometry = 39.4 meV/atom
Volume = 32.51 Å³ per atom
ΔH_f (0 K) = 0.04 eV per atom

Unit cell a=3.5900 b=3.5900 c=11.6520 alpha=90.00 beta=90.00 gamma=120.00
With the nearest neighbours (Å) after each atom.
Positions (direct):
Y: 0.0000 0.0000 0.0000  6 La 3.58, 6 Y 3.59
Y: 0.0000 0.0000 0.5000  6 La 3.58, 6 Y 3.59
La: 0.3333 0.6667 0.2500  6 Y 3.58, 6 La 3.59
La: 0.6667 0.3333 0.7500  6 Y 3.58, 6 La 3.59

[13]
This record from Alexandria describes a relaxed structure of TaRuRh2. The functional is PBEsol.

ρ = 14.12 g cm⁻³
Crystal system = tetragonal
Total moment = 0.0 μB/cell
Energy above the lowest structure with this stoichiometry = 304.9 meV/atom
Volume = 14.35 Å³ per atom
ΔH_f (0 K) = -0.17 eV per atom

Unit cell a=2.7254 b=2.7254 c=7.7258 alpha=90.00 beta=90.00 gamma=90.00
With the nearest neighbours (Å) after each atom.
Positions (direct):
Ta: 0.5000 0.5000 0.5000  4 Ta 2.73, 8 Rh 2.78
Rh: 0.0000 0.0000 0.2407  4 Ru 2.68, 4 Rh 2.73, 4 Ta 2.78
Ru: 0.5000 0.5000 0.0000  8 Rh 2.68, 4 Ru 2.73
Rh: 0.0000 0.0000 0.7593  4 Ru 2.68, 4 Rh 2.73, 4 Ta 2.78

[14]
This record from Alexandria describes a relaxed structure of InOs3W. The functional is PBEsol.

ρ = 14.05 g cm⁻³
Crystal system = cubic
Total moment = 0.0 μB/cell
Volume = 20.54 Å³ per atom
ΔH_f (0 K) = 2.17 eV per atom

Unit cell a=4.6833 b=4.6833 c=4.6833 alpha=90.00 beta=90.00 gamma=90.00
With the nearest neighbours (Å) after each atom.
Positions (direct):
In: 0.5000 0.5000 0.5000  12 Os 3.31
Os: 0.5000 0.0000 0.0000  2 W 2.34
W: 0.0000 0.0000 0.0000  6 Os 2.34
Os: 0.0000 0.0000 0.5000  2 W 2.34
Os: 0.0000 0.5000 0.0000  2 W 2.34